(1)
First-principles (PBE-GGA) data for crystalline DyEr2NpSb4 at its relaxed geometry, as listed in Alexandria via LeMat-Bulk.

abc: 7.571 4.369 7.576
angles: 90.00 109.31 90.00
Fractional coordinates of all 8 atoms:
Dy  0.000  0.000  0.000
Er  0.500  0.000  0.500
Er  0.500  0.500  0.000
Np  0.000  0.500  0.500
Sb  0.252  0.500  0.251
Sb  0.253  0.000  0.752
Sb  0.747  0.000  0.248
Sb  0.748  0.500  0.749

Results
Calculated volume ... 29.6 Å³ per atom
Size of the total moment ... 3.91 μB per cell
VASP energy ... -6.265 eV/atom

(2)
First-principles (PBE-GGA) data for crystalline Tb3Zn2Cd2 at its relaxed geometry, as listed in Alexandria via LeMat-Bulk.

abc: 4.983 4.992 8.128
angles: 89.89 89.89 60.16
Fractional coordinates of all 7 atoms:
Tb  0.000  0.000  0.000
Tb  0.334  0.332  0.639
Tb  0.666  0.668  0.361
Zn  0.001  0.997  0.651
Zn  0.999  0.003  0.349
Cd  0.333  0.334  0.197
Cd  0.667  0.666  0.803

Results
Formation energy from the elements ... -222 meV/atom
Calculated volume ... 25.1 Å³ per atom
Size of the total moment ... 0.00 μB per cell
VASP energy ... -2.832 eV/atom

(3)
First-principles (PBE-GGA) data for crystalline MgAlInSn at its relaxed geometry, as listed in Alexandria via LeMat-Bulk.

abc: 5.116 5.116 5.116
angles: 60.00 60.00 60.00
Fractional coordinates of all 4 atoms:
Mg  0.000  0.000  0.000
Al  0.500  0.500  0.500
In  0.250  0.250  0.250
Sn  0.750  0.750  0.750

Results
Formation energy from the elements ... 78 meV/atom
Calculated volume ... 23.7 Å³ per atom
Size of the total moment ... 0.00 μB per cell
VASP energy ... -2.941 eV/atom

(4)
First-principles (PBE-GGA) data for crystalline SrAl2Cu at its relaxed geometry, as listed in Alexandria via LeMat-Bulk.

abc: 3.126 3.317 7.770
angles: 90.00 90.00 90.00
Fractional coordinates of all 4 atoms:
Sr  0.000  0.000  0.000
Al  0.500  0.500  0.318
Al  0.500  0.500  0.682
Cu  0.000  0.000  0.500

Results
Formation energy from the elements ... -63 meV/atom
Calculated volume ... 20.1 Å³ per atom
Size of the total moment ... 0.00 μB per cell
VASP energy ... -3.379 eV/atom

(5)
First-principles (PBE-GGA) data for crystalline LaSc2TiHg at its relaxed geometry, as listed in Alexandria via LeMat-Bulk.

abc: 5.306 5.306 5.866
angles: 90.00 90.00 90.00
Fractional coordinates of all 5 atoms:
La  0.000  0.000  0.000
Sc  0.000  0.500  0.500
Sc  0.500  0.000  0.500
Ti  0.500  0.500  0.000
Hg  0.000  0.000  0.500

Results
Formation energy from the elements ... 678 meV/atom
Calculated volume ... 33.0 Å³ per atom
Size of the total moment ... 4.51 μB per cell
VASP energy ... -4.479 eV/atom

(6)
First-principles (PBE-GGA) data for crystalline VCr3Hg at its relaxed geometry, as listed in Alexandria via LeMat-Bulk.

abc: 4.306 4.306 4.306
angles: 90.00 90.00 90.00
Fractional coordinates of all 5 atoms:
V  0.000  0.000  0.000
Cr  0.000  0.000  0.500
Cr  0.000  0.500  0.000
Cr  0.500  0.000  0.000
Hg  0.500  0.500  0.500

Results
Formation energy from the elements ... 1273 meV/atom
Relative energy among the computed polymorphs ... 0.000 eV per atom
Calculated volume ... 16.0 Å³ per atom
Size of the total moment ... 1.54 μB per cell
VASP energy ... -6.385 eV/atom

(7)
First-principles (PBE-GGA) data for crystalline Ho4TlPd2 at its relaxed geometry, as listed in Alexandria via LeMat-Bulk.

abc: 10.056 10.056 10.056
angles: 27.33 27.33 27.33
Fractional coordinates of all 7 atoms:
Ho  0.116  0.116  0.116
Ho  0.297  0.297  0.297
Ho  0.703  0.703  0.703
Ho  0.884  0.884  0.884
Tl  0.500  0.500  0.500
Pd  0.399  0.399  0.399
Pd  0.601  0.601  0.601

Results
Formation energy from the elements ... -468 meV/atom
Calculated volume ... 27.0 Å³ per atom
Size of the total moment ... 0.00 μB per cell
VASP energy ... -4.905 eV/atom

(8)
First-principles (PBE-GGA) data for crystalline CdOsI2N at its relaxed geometry, as listed in Alexandria via LeMat-Bulk.

abc: 5.962 5.962 4.166
angles: 90.00 90.00 90.00
Fractional coordinates of all 5 atoms:
Cd  0.000  0.000  0.000
Os  0.500  0.500  0.500
I  0.000  0.500  0.000
I  0.500  0.000  0.000
N  0.000  0.000  0.500

Results
Relative energy among the computed polymorphs ... 1.514 eV per atom
Calculated volume ... 29.6 Å³ per atom
Size of the total moment ... 5.76 μB per cell
VASP energy ... -2.813 eV/atom